Na2Bi2Te3 | PBE | relaxed

a b c (Å): 4.4510 7.7077 7.9845
angles (deg): 77.93 73.84 89.87
With the nearest neighbours (Å) after each atom.
Space group P-1 (No. 2)
Asymmetric unit:
Na  0.1274  0.3678  0.2448 (multiplicity 2)  4 Te 3.08-3.31
Bi  0.3797  0.1545  0.7385 (multiplicity 2)  5 Te 3.05-3.34
Te  0.0000  0.0000  0.5000 (multiplicity 1)  2 Na 3.08, 4 Bi 3.26-3.27
Te  0.2395  0.7590  0.0221 (multiplicity 2)  3 Bi 3.05-3.34, 3 Na 3.13-3.31

ΔE_f (raw) = -35.7 kJ per mole of atoms
Magnetization = 0.0 μB/f.u.
Total DFT energy (no corrections) = -22.416 eV/cell

---

K3ZnH4 | PBE | relaxed

a b c (Å): 7.9799 9.1666 5.6276
angles (deg): 90.00 90.00 90.00
With the nearest neighbours (Å) after each atom.
Space group Pmn2_1 (No. 31)
Asymmetric unit:
K  0.0000  0.0930  0.0000 (multiplicity 2)  5 H 2.58-2.83
K  0.2366  0.7016  0.9854 (multiplicity 4)  3 H 2.61-2.75
Zn  0.0000  0.9174  0.4910 (multiplicity 2)  4 H 1.65-1.72
H  0.0000  0.1054  0.5024 (multiplicity 2)  1 Zn 1.72
H  0.0000  0.8516  0.7648 (multiplicity 2)  1 Zn 1.65
H  0.1719  0.8729  0.3446 (multiplicity 4)  1 Zn 1.65

Magnetization = 0.0 μB/f.u.
Total DFT energy (no corrections) = -38.315 eV/cell

---

Ce5Tl2Cd | PBE | relaxed

a b c (Å): 11.2989 6.8954 6.8622
angles (deg): 90.00 126.37 90.00
With the nearest neighbours (Å) after each atom.
Space group Cm (No. 8)
Asymmetric unit:
Ce  0.0000  0.0000  0.0000 (multiplicity 2)  2 Ce 2.75
Ce  0.1582  0.2619  0.9379 (multiplicity 4)  1 Ce 2.75
Ce  0.1797  0.2960  0.4944 (multiplicity 4)  1 Ce 2.81
Tl  0.4113  0.0000  0.9622 (multiplicity 2)  10 Ce 3.30-3.56, 2 Cd 3.38-3.50
Tl  0.4253  0.5000  0.4338 (multiplicity 2)  10 Ce 3.34-3.54, 2 Cd 3.47
Cd  0.3874  0.0000  0.4298 (multiplicity 2)  9 Ce 3.32-3.54, 4 Tl 3.38-3.50

Magnetization = 2.4 μB/f.u.
DFT formation energy = -181 meV/atom
Total DFT energy (no corrections) = -73.535 eV/cell

---

Pr4Y15Sc | PBE | relaxed

a b c (Å): 5.0807 5.0807 25.2596
angles (deg): 90.00 90.00 90.00
With the nearest neighbours (Å) after each atom.
Space group P4/mmm (No. 123)
Asymmetric unit:
Pr  0.0000  0.0000  0.1012 (multiplicity 2)  12 Y 3.59-3.60
Pr  0.0000  0.0000  0.3025 (multiplicity 2)  12 Y 3.58-3.63
Y  0.0000  0.5000  0.0000 (multiplicity 2)  8 Y 3.59-3.60, 4 Pr 3.60
Y  0.0000  0.5000  0.2024 (multiplicity 4)  4 Pr 3.58-3.60, 8 Y 3.59-3.61
Y  0.0000  0.5000  0.4050 (multiplicity 4)  2 Sc 3.49, 8 Y 3.49-3.61, 2 Pr 3.63
Y  0.5000  0.5000  0.1010 (multiplicity 2)  4 Pr 3.59, 8 Y 3.60-3.61
Y  0.5000  0.5000  0.3037 (multiplicity 2)  4 Pr 3.59, 8 Y 3.61
Y  0.5000  0.5000  0.5000 (multiplicity 1)  8 Y 3.49, 4 Sc 3.59
Sc  0.0000  0.0000  0.5000 (multiplicity 1)  12 Y 3.49-3.59

Magnetization = 0.0 μB/f.u.
DFT formation energy = 28 meV/atom
Total DFT energy (no corrections) = -121.855 eV/cell

---

HfGa3Ag | PBE | relaxed

a b c (Å): 4.8319 4.8319 4.8319
angles (deg): 90.00 90.00 90.00
With the nearest neighbours (Å) after each atom.
Space group Pm-3m (No. 221)
Asymmetric unit:
Hf  0.0000  0.0000  0.0000 (multiplicity 1)  12 Ga 3.42
Ga  0.0000  0.5000  0.5000 (multiplicity 3)  2 Ag 2.42
Ag  0.5000  0.5000  0.5000 (multiplicity 1)  6 Ga 2.42

Energy above the lowest structure with this stoichiometry = 0 meV per atom
Magnetization = 0.0 μB/f.u.
DFT formation energy = 630 meV/atom
Total DFT energy (no corrections) = -18.737 eV/cell

---

CdPtSe2 | PBE | relaxed

a b c (Å): 5.4459 5.4459 5.6566
angles (deg): 90.00 90.00 90.00
With the nearest neighbours (Å) after each atom.
Space group I4/mmm (No. 139)
Asymmetric unit:
Cd  0.0000  0.0000  0.0000 (multiplicity 2)  4 Se 2.72, 2 Pt 2.83
Pt  0.0000  0.0000  0.5000 (multiplicity 2)  4 Se 2.72, 2 Cd 2.83
Se  0.0000  0.5000  0.0000 (multiplicity 4)  2 Cd 2.72, 2 Pt 2.72, 2 Se 2.83

ΔE_f (raw) = -3.7 kJ per mole of atoms
Magnetization = 0.0 μB/f.u.
Total DFT energy (no corrections) = -28.157 eV/cell

---

SrHfMn2Ru | PBE | relaxed

a b c (Å): 4.7350 4.7350 4.8099
angles (deg): 90.00 90.00 90.00
With the nearest neighbours (Å) after each atom.
Space group P4/mmm (No. 123)
Asymmetric unit:
Sr  0.0000  0.0000  0.0000 (multiplicity 1)  4 Mn 2.37, 2 Ru 2.40
Hf  0.5000  0.5000  0.5000 (multiplicity 1)  4 Ru 3.35, 8 Mn 3.37
Mn  0.0000  0.5000  0.0000 (multiplicity 2)  2 Sr 2.37
Ru  0.0000  0.0000  0.5000 (multiplicity 1)  2 Sr 2.40

Magnetization = 6.3 μB/f.u.
DFT formation energy = 1961 meV/atom
Total DFT energy (no corrections) = -29.444 eV/cell

---

BaHoHg4 | PBE | relaxed

a b c (Å): 4.0028 4.0028 10.6292
angles (deg): 90.00 90.00 90.00
With the nearest neighbours (Å) after each atom.
Space group P4/mmm (No. 123)
Asymmetric unit:
Ba  0.0000  0.0000  0.0000 (multiplicity 1)  10 Hg 3.52-3.74
Ho  0.5000  0.5000  0.5000 (multiplicity 1)  10 Hg 3.22-3.24
Hg  0.0000  0.0000  0.3520 (multiplicity 2)  5 Hg 3.15-3.27, 4 Ho 3.24
Hg  0.5000  0.5000  0.1975 (multiplicity 2)  1 Ho 3.22, 4 Hg 3.27, 4 Ba 3.52

Magnetization = 0.0 μB/f.u.
DFT formation energy = -391 meV/atom
Total DFT energy (no corrections) = -10.053 eV/cell

---

ZrCdTc2 | PBE | relaxed

a b c (Å): 3.0448 3.0448 7.8510
angles (deg): 90.00 90.00 90.00
With the nearest neighbours (Å) after each atom.
Space group P4mm (No. 99)
Asymmetric unit:
Zr  0.0000  0.0000  0.0000 (multiplicity 1)  4 Tc 2.94, 4 Zr 3.04, 4 Cd 3.21
Cd  0.5000  0.5000  0.3032 (multiplicity 1)  4 Tc 3.00, 4 Cd 3.04, 4 Zr 3.21
Tc  0.0000  0.0000  0.5696 (multiplicity 1)  4 Tc 2.55
Tc  0.5000  0.5000  0.7447 (multiplicity 1)  4 Tc 2.55

Magnetization = 0.0 μB/f.u.
DFT formation energy = -7 meV/atom
Total DFT energy (no corrections) = -30.224 eV/cell

---

Sm2AlGa3Au4 | PBE | relaxed

a b c (Å): 4.3906 4.3906 10.5937
angles (deg): 90.00 90.00 90.00
With the nearest neighbours (Å) after each atom.
Space group P-4m2 (No. 115)
Asymmetric unit:
Sm  0.0000  0.5000  0.2459 (multiplicity 2)  6 Ga 3.32-3.47, 8 Au 3.37-3.41, 2 Al 3.47
Al  0.0000  0.0000  0.5000 (multiplicity 1)  4 Au 2.59
Ga  0.0000  0.5000  0.8652 (multiplicity 2)  5 Au 2.49-2.62
Ga  0.5000  0.5000  0.5000 (multiplicity 1)  4 Au 2.59
Au  0.0000  0.0000  0.0000 (multiplicity 1)  4 Ga 2.62
Au  0.0000  0.5000  0.6298 (multiplicity 2)  3 Ga 2.49-2.59, 2 Al 2.59
Au  0.5000  0.5000  0.0000 (multiplicity 1)  4 Ga 2.62

Magnetization = 0.0 μB/f.u.
DFT formation energy = -661 meV/atom
Total DFT energy (no corrections) = -41.982 eV/cell

---

ZrTeAsSe2 | PBE | relaxed

a b c (Å): 5.1092 5.1092 5.4844
angles (deg): 90.00 90.00 90.00
With the nearest neighbours (Å) after each atom.
Space group P4/mmm (No. 123)
Asymmetric unit:
Zr  0.0000  0.0000  0.0000 (multiplicity 1)  4 Se 2.55, 2 As 2.74
Te  0.5000  0.5000  0.5000 (multiplicity 1)  4 As 3.61, 8 Se 3.75
As  0.0000  0.0000  0.5000 (multiplicity 1)  2 Zr 2.74
Se  0.0000  0.5000  0.0000 (multiplicity 2)  2 Zr 2.55

ΔE_f (raw) = -3.7 kJ per mole of atoms
Energy above the lowest structure with this stoichiometry = 0 meV per atom
Magnetization = 0.0 μB/f.u.
Total DFT energy (no corrections) = -23.498 eV/cell

---

K4Hg5Au3 | PBE | relaxed

a b c (Å): 18.4499 5.3015 8.0904
angles (deg): 90.00 107.37 90.00
With the nearest neighbours (Å) after each atom.
Space group C2/m (No. 12)
Asymmetric unit:
K  0.1077  0.0000  0.4246 (multiplicity 4)  6 Hg 3.42-3.76, 3 Au 3.50-3.72
K  0.1679  0.0000  0.9384 (multiplicity 4)  4 Hg 3.28-3.63, 3 Au 3.30-3.62
Hg  0.0000  0.0000  0.0000 (multiplicity 2)  2 Au 2.65
Hg  0.0496  0.5000  0.6899 (multiplicity 4)  2 Au 2.92-2.96, 1 Hg 3.07
Hg  0.2002  0.5000  0.2901 (multiplicity 4)  3 Au 3.05-3.12
Au  0.0000  0.5000  0.0000 (multiplicity 2)  4 Hg 2.65-2.92
Au  0.2075  0.5000  0.6722 (multiplicity 4)  4 Hg 2.96-3.12, 1 K 3.30

Magnetization = 0.0 μB/f.u.
DFT formation energy = -238 meV/atom
Total DFT energy (no corrections) = -37.170 eV/cell

---

HfHgSb2 | PBE | relaxed

a b c (Å): 4.2335 4.2335 21.7232
angles (deg): 90.00 90.00 120.00
With the nearest neighbours (Å) after each atom.
Space group R3m (No. 160, hexagonal axes)
Asymmetric unit:
Hf  0.0000  0.0000  0.0000 (multiplicity 3)  6 Sb 2.90-2.95
Hg  0.0000  0.0000  0.1639 (multiplicity 3)  6 Sb 3.16-3.17
Sb  0.0000  0.0000  0.4049 (multiplicity 3)  3 Hf 2.90, 3 Hg 3.16
Sb  0.0000  0.0000  0.5903 (multiplicity 3)  3 Hf 2.95, 3 Hg 3.17

ΔE_f (raw) = 0.7 kJ per mole of atoms
Magnetization = 0.0 μB/f.u.
Total DFT energy (no corrections) = -55.410 eV/cell

---

Pm2Dy5Er5 | PBE | relaxed

a b c (Å): 15.0244 5.0105 11.2059
angles (deg): 90.00 116.51 90.00
With the nearest neighbours (Å) after each atom.
Space group C2/m (No. 12)
Asymmetric unit:
Pm  0.0832  0.0000  0.2490 (multiplicity 4)  7 Dy 3.54-3.56, 5 Er 3.54-3.55
Dy  0.0000  0.5000  0.0000 (multiplicity 2)  4 Pm 3.54, 2 Dy 3.55, 6 Er 3.55-3.56
Dy  0.0845  0.5000  0.7503 (multiplicity 4)  7 Er 3.52-3.55, 3 Dy 3.53-3.55, 2 Pm 3.56
Dy  0.1662  0.5000  0.4998 (multiplicity 4)  4 Dy 3.53-3.55, 5 Er 3.54-3.55, 3 Pm 3.55-3.56
Er  0.0000  0.0000  0.5000 (multiplicity 2)  2 Er 3.53, 8 Dy 3.54-3.55, 2 Pm 3.55
Er  0.1677  0.0000  0.0002 (multiplicity 4)  5 Dy 3.52-3.55, 5 Er 3.52-3.54, 2 Pm 3.54-3.55
Er  0.2490  0.0000  0.7498 (multiplicity 4)  6 Dy 3.52-3.56, 4 Er 3.52-3.54, 2 Pm 3.55

Magnetization = 0.0 μB/f.u.
DFT formation energy = 19 meV/atom
Total DFT energy (no corrections) = -110.185 eV/cell

---

Cd2TeRh2 | PBE | relaxed

a b c (Å): 6.8637 6.8637 4.1282
angles (deg): 90.00 90.00 90.00
With the nearest neighbours (Å) after each atom.
Space group P4/mbm (No. 127)
Asymmetric unit:
Cd  0.1512  0.3488  0.0000 (multiplicity 4)  6 Rh 2.83-2.92, 1 Cd 2.93
Te  0.0000  0.0000  0.5000 (multiplicity 2)  4 Rh 2.62
Rh  0.1495  0.6495  0.5000 (multiplicity 4)  2 Te 2.62, 6 Cd 2.83-2.92, 1 Rh 2.90

ΔE_f (raw) = -9.8 kJ per mole of atoms
Magnetization = 0.0 μB/f.u.
Total DFT energy (no corrections) = -40.362 eV/cell

---

LaPN2 | PBE | relaxed

a b c (Å): 3.9861 3.9861 16.4224
angles (deg): 90.00 90.00 120.00
With the nearest neighbours (Å) after each atom.
Space group R-3m (No. 166, hexagonal axes)
Asymmetric unit:
La  0.0000  0.0000  0.0000 (multiplicity 3)  6 N 2.56
P  0.0000  0.0000  0.5000 (multiplicity 3)  2 N 1.62
N  0.0000  0.0000  0.4011 (multiplicity 6)  1 P 1.62

ΔE_f (raw) = -40.8 kJ per mole of atoms
Magnetization = 0.0 μB/f.u.
Total DFT energy (no corrections) = -86.038 eV/cell

---

Pm2Nd6Dy | PBE | relaxed

a b c (Å): 16.6984 11.8971 6.2801
angles (deg): 90.00 96.23 90.00
With the nearest neighbours (Å) after each atom.
Space group C2/c (No. 15)
Asymmetric unit:
Pm  0.1674  0.1003  0.0807 (multiplicity 8)  8 Nd 3.47-3.62
Nd  0.0479  0.1403  0.5137 (multiplicity 8)  4 Nd 3.37-3.70, 3 Pm 3.49-3.61, 1 Dy 3.56
Nd  0.1166  0.3601  0.8197 (multiplicity 8)  4 Nd 3.37-3.67, 2 Dy 3.45-3.53, 2 Pm 3.56-3.62
Nd  0.2123  0.3620  0.3493 (multiplicity 8)  4 Nd 3.43-3.67, 3 Pm 3.47-3.58, 1 Dy 3.56
Dy  0.0000  0.4007  0.2500 (multiplicity 4)  8 Nd 3.45-3.56

Energy above the lowest structure with this stoichiometry = 0 meV per atom
Magnetization = 0.0 μB/f.u.
DFT formation energy = 80 meV/atom
Total DFT energy (no corrections) = -167.964 eV/cell

---

HoH2Ru | PBE | relaxed

a b c (Å): 3.6271 3.6271 13.1033
angles (deg): 90.00 90.00 120.00
With the nearest neighbours (Å) after each atom.
Space group R-3m (No. 166, hexagonal axes)
Asymmetric unit:
Ho  0.0000  0.0000  0.0000 (multiplicity 3)  6 H 2.15
H  0.0000  0.0000  0.3712 (multiplicity 6)  1 Ru 1.69
Ru  0.0000  0.0000  0.5000 (multiplicity 3)  2 H 1.69

Magnetization = 0.2 μB/f.u.
Total DFT energy (no corrections) = -64.868 eV/cell

---

ZrSi2Br | PBE | relaxed

a b c (Å): 5.4605 9.8628 3.3054
angles (deg): 90.00 120.05 90.00
With the nearest neighbours (Å) after each atom.
Space group C2/m (No. 12)
Asymmetric unit:
Zr  0.0000  0.0000  0.0000 (multiplicity 2)  4 Br 2.73-3.06, 4 Si 2.90
Si  0.2500  0.2500  0.5000 (multiplicity 4)  4 Si 2.73-3.06, 2 Zr 2.90, 2 Br 2.90
Br  0.0000  0.5000  0.0000 (multiplicity 2)  4 Zr 2.73-3.06, 4 Si 2.90

ΔE_f (raw) = 19.9 kJ per mole of atoms
Energy above the lowest structure with this stoichiometry = 584 meV per atom
Magnetization = 0.0 μB/f.u.
Total DFT energy (no corrections) = -40.488 eV/cell

---

NaMg2Hg | PBE | relaxed

a b c (Å): 4.4053 4.4053 21.7121
angles (deg): 90.00 90.00 90.00
With the nearest neighbours (Å) after each atom.
Space group I-42d (No. 122)
Asymmetric unit:
Na  0.0000  0.0000  0.0000 (multiplicity 4)  4 Hg 3.11, 4 Mg 3.15
Mg  0.2355  0.2500  0.6250 (multiplicity 8)  4 Mg 3.03-3.21, 2 Hg 3.11, 2 Na 3.15
Hg  0.0000  0.0000  0.5000 (multiplicity 4)  4 Mg 3.11, 4 Na 3.11

Magnetization = 0.0 μB/f.u.
DFT formation energy = 56 meV/atom
Total DFT energy (no corrections) = -18.351 eV/cell